DFT (PBE) results for crystalline Ni2IrAu at its relaxed geometry.

The structure in POSCAR format:
```
Ni2IrAu
1.0
4.498 -1.366 0.000
4.498 1.366 0.000
-0.984 0.000 4.461
Ni Ir Au
2 1 1
Direct
0.000 0.000 0.000
0.738 0.738 0.270
0.481 0.481 0.466
0.244 0.244 0.775
```

## Properties
- VASP energy (eV/atom) = -5.75
- D(E_F) (states/eV per cell) = 5.99
- space-group type = Cm, No. 8
- polymorph energy (0 for the lowest one) (eV per atom) = 0.108